Record 1
Material: Ga2PdCl
Method: DFT, GGA-PBEsol
State: optimized geometry

SG = Fm-3m, No. 225

Lattice parameters (Å, degrees): 4.700 4.700 4.700 60.00 60.00 60.00
Element x y z (fractional)
Ga (0.250, 0.250, 0.250)
Ga (0.750, 0.750, 0.750)
Pd (0.500, 0.500, 0.500)
Cl (0.000, 0.000, 0.000)

=====

Record 2
Material: ScGa2PdCl
Method: DFT, GGA-PBEsol
State: optimized geometry

SG = P4/mmm, No. 123

Lattice parameters (Å, degrees): 4.599 4.778 4.778 90.00 90.00 90.00
Element x y z (fractional)
Ga (0.000, 0.500, 0.000)
Pd (0.500, 0.500, 0.500)
Cl (0.000, 0.000, 0.000)
Sc (0.500, 0.000, 0.000)
Ga (0.000, 0.000, 0.500)

=====

Record 3
Material: Ga2SiPdCl
Method: DFT, GGA-PBEsol
State: optimized geometry

SG = P4/mmm, No. 123

Lattice parameters (Å, degrees): 4.564 4.851 4.851 90.00 90.00 90.00
Element x y z (fractional)
Pd (0.000, 0.000, 0.000)
Ga (0.000, 0.500, 0.000)
Cl (0.500, 0.500, 0.500)
Ga (0.000, 0.000, 0.500)
Si (0.500, 0.000, 0.000)

=====

Record 4
Material: Ga3PtCl
Method: DFT, GGA-PBEsol
State: optimized geometry

SG = Pm-3m, No. 221

Lattice parameters (Å, degrees): 4.785 4.785 4.785 90.00 90.00 90.00
Element x y z (fractional)
Ga (0.000, 0.000, 0.500)
Ga (0.500, 0.000, 0.000)
Cl (0.500, 0.500, 0.500)
Ga (0.000, 0.500, 0.000)
Pt (0.000, 0.000, 0.000)

=====

Record 5
Material: GaPt3Cl
Method: DFT, GGA-PBEsol
State: optimized geometry

SG = Pm-3m, No. 221

Lattice parameters (Å, degrees): 4.621 4.621 4.621 90.00 90.00 90.00
Element x y z (fractional)
Cl (0.500, 0.500, 0.500)
Ga (0.000, 0.000, 0.000)
Pt (0.000, 0.500, 0.000)
Pt (0.500, 0.000, 0.000)
Pt (0.000, 0.000, 0.500)

=====

Record 6
Material: Rb3GaCl
Method: DFT, GGA-PBEsol
State: optimized geometry

SG = Pm-3m, No. 221

Lattice parameters (Å, degrees): 6.226 6.226 6.226 90.00 90.00 90.00
Element x y z (fractional)
Rb (0.500, 0.000, 0.000)
Rb (0.000, 0.000, 0.500)
Cl (0.000, 0.000, 0.000)
Ga (0.500, 0.500, 0.500)
Rb (0.000, 0.500, 0.000)

=====

ΔE_f (raw) list, top to bottom, in meV/atom: -12 221 -156 -573 917 -508